(1)
VASP calculation (PBEsol) on a relaxed TcIr3W crystal.

Properties
Magnetic moment in μB per atom: 0.806
ΔE_f in eV per atom: 2.18
E in eV/f.u.: -43.66

Cell: 4.662 4.662 4.662 Å, 90.00 90.00 90.00°
Last column: magnetic moment on the atom in μB.
Fractional positions:
Ir 0.000 0.500 0.000  0.15
Ir 0.000 0.000 0.500  0.15
Ir 0.500 0.000 0.000  0.15
Tc 0.500 0.500 0.500  3.34
W 0.000 0.000 0.000  -0.03


(2)
VASP calculation (PBEsol) on a relaxed TcIr2W crystal.

Properties
Magnetic moment in μB per atom: 0.000
ΔE_f in eV per atom: -0.20
E in eV/f.u.: -45.52

Cell: 3.867 3.867 4.716 Å, 114.21 114.21 90.00°
Fractional positions:
Ir 0.000 0.000 0.000
Ir 0.250 0.750 0.500
Tc 0.500 0.500 0.000
W 0.750 0.250 0.500


(3)
VASP calculation (PBEsol) on a relaxed TcIr2W crystal.

Properties
Magnetic moment in μB per atom: 0.000
ΔE_f in eV per atom: -0.29
E in eV/f.u.: -45.90

Cell: 3.842 3.842 3.879 Å, 90.00 90.00 90.00°
Fractional positions:
Ir 0.000 0.500 0.000
Ir 0.500 0.000 0.000
Tc 0.500 0.500 0.500
W 0.000 0.000 0.500


(4)
VASP calculation (PBEsol) on a relaxed YTc2Ir crystal.

Properties
Magnetic moment in μB per atom: 0.000
ΔE_f in eV per atom: 0.19
E in eV/f.u.: -38.40

Cell: 3.431 4.293 5.235 Å, 114.20 109.13 90.00°
Fractional positions:
Ir 0.000 0.500 0.000
Tc 0.748 0.748 0.495
Tc 0.252 0.252 0.505
Y 0.500 0.000 0.000